Crystalline TlAsPd at its relaxed geometry, computed with PBE.

The magnetization is 0.0 μB per formula unit. The energy above the most stable polymorph in this dataset is 0.115 eV/atom. Its formation energy from the elements is -0.37 eV per formula unit. As for the crystal system: tetragonal.

Unit cell a=3.2633 b=3.2633 c=6.8160 alpha=103.85 beta=103.85 gamma=90.00
Element x y z (fractional)
As  0.2847  0.2847  0.5695
Pd  0.6983  0.6983  0.3965
Tl  0.0170  0.0170  0.0340